The following is a DFT calculation (PBE-GGA) of RbLi2Hf after structural relaxation.

Values from the calculation:
**Energy of formation**: 4.034 eV per formula unit
**V**: 29.21 Å³ per atom
**Energy above the lowest structure with this stoichiometry**: 0.000 eV per atom

Unit cell a=5.488 b=5.488 c=5.488 alpha=60.00 beta=60.00 gamma=60.00
Element x y z (fractional)
Hf: 0.500 0.500 0.500
Li: 0.250 0.250 0.250
Li: 0.750 0.750 0.750
Rb: 0.000 0.000 0.000

=====

The following is a DFT calculation (PBE-GGA) of Rb2Li2HfS4 after structural relaxation.

Values from the calculation:
**Uncorrected formation energy**: -1.42 eV/atom
**V**: 23.02 Å³ per atom

Unit cell a=3.921 b=7.675 c=7.552 alpha=108.58 beta=105.05 gamma=90.00
Element x y z (fractional)
Rb: 0.862 0.439 0.723
Rb: 0.138 0.561 0.277
S: 0.185 0.157 0.371
S: 0.515 0.784 0.030
S: 0.485 0.216 0.970
S: 0.815 0.843 0.629
Li: 0.320 0.018 0.640
Li: 0.680 0.982 0.360
Hf: 0.000 0.000 0.000

=====

The following is a DFT calculation (PBE-GGA) of Rb3LiHf3S8 after structural relaxation.

Values from the calculation:
**Uncorrected formation energy**: -1.48 eV/atom
**V**: 25.51 Å³ per atom

Unit cell a=7.561 b=7.562 c=8.875 alpha=115.23 beta=90.00 gamma=119.98
Element x y z (fractional)
S: 0.234 0.469 0.679
S: 0.711 0.945 0.679
S: 0.234 0.945 0.679
S: 0.729 0.458 0.687
S: 0.271 0.542 0.313
S: 0.766 0.531 0.321
S: 0.289 0.055 0.321
S: 0.766 0.055 0.321
Hf: 0.000 0.500 0.500
Hf: 0.500 0.000 0.500
Hf: 0.500 0.500 0.500
Rb: 0.500 0.500 0.000
Rb: 0.000 0.000 0.000
Rb: 0.000 0.500 0.000
Li: 0.000 0.000 0.500

=====

The following is a DFT calculation (PBE-GGA) of RbLiHfS3 after structural relaxation.

Values from the calculation:
**Uncorrected formation energy**: -1.51 eV/atom
**V**: 24.53 Å³ per atom

Unit cell a=3.828 b=8.833 c=9.339 alpha=111.21 beta=90.00 gamma=90.00
Element x y z (fractional)
Rb: 0.250 0.221 0.259
Rb: 0.750 0.779 0.741
S: 0.750 0.214 0.561
S: 0.250 0.786 0.439
S: 0.750 0.472 0.146
S: 0.250 0.528 0.854
S: 0.750 0.859 0.129
S: 0.250 0.141 0.871
Li: 0.250 0.076 0.601
Li: 0.750 0.924 0.399
Hf: 0.250 0.677 0.156
Hf: 0.750 0.323 0.844

=====

The following is a DFT calculation (PBE-GGA) of Rb2LiHf3S8 after structural relaxation.

Values from the calculation:
**Uncorrected formation energy**: -1.43 eV/atom
**V**: 28.07 Å³ per atom

Unit cell a=7.391 b=7.391 c=9.338 alpha=66.69 beta=66.69 gamma=60.00
Element x y z (fractional)
S: 0.219 0.219 0.862
S: 0.700 0.219 0.862
S: 0.219 0.700 0.862
S: 0.758 0.758 0.207
S: 0.265 0.265 0.204
S: 0.715 0.715 0.854
S: 0.758 0.277 0.207
S: 0.277 0.758 0.207
Hf: 0.491 0.985 0.033
Hf: 0.985 0.491 0.033
Hf: 0.491 0.491 0.033
Rb: 0.489 0.489 0.533
Rb: 0.139 0.139 0.582
Li: 0.986 0.986 0.043

=====

The following is a DFT calculation (PBE-GGA) of Rb2LiHf2Se6 after structural relaxation.

Values from the calculation:
**Uncorrected formation energy**: -1.24 eV/atom
**V**: 29.57 Å³ per atom

Unit cell a=6.735 b=6.735 c=8.535 alpha=97.17 beta=97.17 gamma=119.82
Element x y z (fractional)
Li: 0.000 0.000 0.500
Se: 0.704 0.704 0.689
Se: 0.296 0.296 0.311
Se: 0.594 0.940 0.315
Se: 0.060 0.406 0.685
Se: 0.940 0.594 0.315
Se: 0.406 0.060 0.685
Rb: 0.837 0.163 0.000
Rb: 0.163 0.837 0.000
Hf: 0.333 0.667 0.500
Hf: 0.667 0.333 0.500

=====

The following is a DFT calculation (PBE-GGA) of Rb2Li2HfSe4 after structural relaxation.

Values from the calculation:
**Uncorrected formation energy**: -1.31 eV/atom
**V**: 26.15 Å³ per atom

Unit cell a=4.096 b=7.993 c=7.889 alpha=108.66 beta=105.05 gamma=90.00
Element x y z (fractional)
Hf: 0.000 0.000 0.000
Rb: 0.138 0.563 0.276
Rb: 0.862 0.437 0.724
Li: 0.320 0.017 0.640
Li: 0.680 0.983 0.360
Se: 0.186 0.164 0.373
Se: 0.814 0.836 0.627
Se: 0.486 0.220 0.972
Se: 0.514 0.780 0.028

=====

The following is a DFT calculation (PBE-GGA) of RbSrLi2Hf after structural relaxation.

Values from the calculation:
**Energy of formation**: 5.554 eV per formula unit
**V**: 42.29 Å³ per atom

Unit cell a=5.784 b=6.320 c=5.784 alpha=90.00 beta=90.00 gamma=90.00
Element x y z (fractional)
Rb: 0.000 0.500 0.000
Hf: 0.000 0.000 0.000
Li: 0.000 0.000 0.500
Li: 0.500 0.000 0.000
Sr: 0.500 0.500 0.500

=====

The following is a DFT calculation (PBE-GGA) of Li2HfRe after structural relaxation.

Values from the calculation:
**Energy of formation**: 2.071 eV per formula unit
**V**: 18.25 Å³ per atom
**Energy above the lowest structure with this stoichiometry**: 0.000 eV per atom

Unit cell a=3.733 b=3.733 c=10.804 alpha=80.05 beta=80.05 gamma=90.00
Element x y z (fractional)
Li: 0.659 0.625 0.250
Li: 0.875 0.341 0.750
Li: 0.091 0.125 0.250
Li: 0.375 0.909 0.750
Hf: 0.250 0.750 0.500
Hf: 0.500 0.500 0.000
Re: 0.750 0.250 0.500
Re: 0.000 0.000 0.000

=====

The following is a DFT calculation (PBE-GGA) of LiHfRe3 after structural relaxation.

Values from the calculation:
**Energy of formation**: 4.896 eV per formula unit
**V**: 15.28 Å³ per atom
**Energy above the lowest structure with this stoichiometry**: 0.000 eV per atom

Unit cell a=4.243 b=4.243 c=4.243 alpha=90.00 beta=90.00 gamma=90.00
Element x y z (fractional)
Re: 0.000 0.000 0.500
Re: 0.000 0.500 0.000
Re: 0.500 0.000 0.000
Hf: 0.500 0.500 0.500
Li: 0.000 0.000 0.000

=====

The following is a DFT calculation (PBE-GGA) of LiHf2Re after structural relaxation.

Values from the calculation:
**Energy of formation**: -0.821 eV per formula unit
**V**: 17.71 Å³ per atom
**Energy above the lowest structure with this stoichiometry**: 0.000 eV per atom

Unit cell a=4.645 b=4.645 c=4.645 alpha=60.00 beta=60.00 gamma=60.00
Element x y z (fractional)
Hf: 0.250 0.250 0.250
Hf: 0.750 0.750 0.750
Li: 0.000 0.000 0.000
Re: 0.500 0.500 0.500

=====

The following is a DFT calculation (PBE-GGA) of LiHf2Re after structural relaxation.

Values from the calculation:
**Energy of formation**: -0.368 eV per formula unit
**V**: 17.66 Å³ per atom
**Energy above the lowest structure with this stoichiometry**: 0.113 eV per atom

Unit cell a=3.331 b=4.605 c=4.605 alpha=90.00 beta=90.00 gamma=90.00
Element x y z (fractional)
Hf: 0.000 0.500 0.000
Hf: 0.000 0.000 0.500
Re: 0.500 0.500 0.500
Li: 0.500 0.000 0.000